1.
# Na2BeSi2O6

Na2BeSi2O6 at its PBEsol-relaxed geometry (meta-GGA SCAN, Alexandria via LeMat-Bulk).

Cell and atoms, written as POSCAR:
```
Na2BeSi2O6
1.0
-2.577 -4.028 -5.206
8.460 -3.335 -6.406
-0.048 -10.909 3.666
Na Be Si O
12 6 12 36
Direct
0.811 0.000 0.378 Na
0.533 0.338 0.628 Na
0.189 0.000 0.622 Na
0.217 0.162 0.872 Na
0.939 0.500 0.122 Na
0.911 0.838 0.872 Na
0.561 0.500 0.878 Na
0.251 0.838 0.128 Na
0.499 0.662 0.372 Na
0.839 0.662 0.628 Na
0.621 0.162 0.128 Na
0.129 0.338 0.372 Na
0.067 0.867 0.500 Be
0.317 0.367 0.000 Be
0.683 0.633 0.000 Be
0.750 0.500 0.500 Be
0.433 0.133 0.500 Be
0.000 0.000 0.000 Be
0.344 0.000 0.312 Si
0.028 0.318 0.648 Si
0.426 0.818 0.852 Si
0.656 0.000 0.688 Si
0.406 0.500 0.188 Si
0.994 0.682 0.352 Si
0.094 0.500 0.812 Si
0.324 0.682 0.648 Si
0.756 0.818 0.148 Si
0.654 0.318 0.352 Si
0.096 0.182 0.148 Si
0.722 0.182 0.852 Si
0.277 0.460 0.114 O
0.592 0.216 0.454 O
0.278 0.125 0.221 O
0.528 0.569 0.592 O
0.488 0.716 0.954 O
0.870 0.069 0.908 O
0.154 0.375 0.721 O
0.596 0.125 0.779 O
0.487 0.040 0.614 O
0.875 0.250 0.750 O
0.903 0.569 0.408 O
0.795 0.716 0.046 O
0.263 0.460 0.886 O
0.158 0.284 0.046 O
0.558 0.284 0.954 O
0.955 0.784 0.454 O
0.609 0.540 0.114 O
0.880 0.431 0.592 O
0.141 0.960 0.386 O
0.847 0.931 0.092 O
0.192 0.216 0.546 O
0.473 0.040 0.386 O
0.061 0.069 0.092 O
0.472 0.375 0.279 O
0.875 0.750 0.250 O
0.501 0.875 0.221 O
0.851 0.540 0.886 O
0.222 0.931 0.908 O
0.625 0.875 0.779 O
0.899 0.960 0.614 O
0.249 0.625 0.279 O
0.689 0.431 0.408 O
0.875 0.250 0.250 O
0.125 0.625 0.721 O
0.375 0.750 0.750 O
0.262 0.784 0.546 O
```

## Properties
Polymorph energy (0 for the lowest one) ... 59 meV/atom
Formation energy from raw total energies ... -2.770 eV/atom
Calculated volume ... 12.4 Å³ per atom



2.
# Na3BeOs

Na3BeOs at its PBEsol-relaxed geometry (meta-GGA SCAN, Alexandria via LeMat-Bulk).

Cell and atoms, written as POSCAR:
```
Na3BeOs
1.0
4.974 0.000 0.000
0.000 4.974 0.000
0.000 0.000 4.974
Na Os Be
3 1 1
Direct
0.000 0.500 0.000 Na
0.000 0.000 0.500 Na
0.500 0.000 0.000 Na
0.500 0.500 0.500 Os
0.000 0.000 0.000 Be
```

## Properties
Energy relative to the elements ... 1.740 eV per atom
Calculated volume ... 24.6 Å³ per atom



3.
# NaBe2P

NaBe2P at its PBEsol-relaxed geometry (meta-GGA SCAN, Alexandria via LeMat-Bulk).

Cell and atoms, written as POSCAR:
```
NaBe2P
1.0
5.467 0.819 1.182
-1.905 5.190 -1.182
-1.905 -2.931 4.443
P Be Na
2 4 2
Direct
0.000 0.000 0.000 P
0.500 0.750 0.250 P
0.107 0.732 0.125 Be
0.893 0.018 0.625 Be
0.393 0.375 0.268 Be
0.607 0.875 0.982 Be
0.000 0.500 0.500 Na
0.500 0.250 0.750 Na
```

## Properties
Energy relative to the elements ... 0.319 eV per atom
Calculated volume ... 16.8 Å³ per atom



4.
# NaBeP2

NaBeP2 at its PBEsol-relaxed geometry (meta-GGA SCAN, Alexandria via LeMat-Bulk).

Cell and atoms, written as POSCAR:
```
NaBeP2
1.0
-3.974 -2.011 1.163
-0.156 -2.068 -4.110
5.587 -3.412 4.082
P Be Na
4 2 2
Direct
0.547 0.875 0.250 P
0.703 0.375 0.250 P
0.125 0.297 0.750 P
0.625 0.453 0.750 P
0.750 0.250 0.500 Be
0.500 0.500 0.000 Be
0.250 0.750 0.500 Na
0.000 0.000 0.000 Na
```

## Properties
Energy relative to the elements ... -0.164 eV per atom
Calculated volume ... 18.5 Å³ per atom